Compound: Nd5Te5Se
Source: Alexandria
Functional: PBE
Structure: optimized geometry

E_form (uncorrected) ... -1.525 eV per atom
Symmetry ... C2/m, No. 12
Energy ... -5.437 eV per atom
D(E_F) ... 0.381 states/eV/atom

a b c (Å): 6.295 7.689 8.823
angles (deg): 106.88 90.00 114.16
Fractional positions:
Nd1 0.500 0.000 0.000
Nd2 0.161 0.321 0.839
Se1 0.000 0.000 0.000
Nd3 0.158 0.316 0.322
Te1 0.000 0.000 0.500
Nd4 0.839 0.679 0.161
Te2 0.662 0.324 0.821
Te3 0.338 0.676 0.179
Nd5 0.842 0.684 0.678
Te4 0.668 0.336 0.338
Te5 0.332 0.664 0.662

Compound: Cs2Rb3InCl6
Source: Alexandria
Functional: PBE
Structure: optimized geometry

E_form (uncorrected) ... -1.754 eV per atom
Symmetry ... C2/m, No. 12
Energy ... -3.290 eV per atom
D(E_F) ... 0.000 states/eV/atom

a b c (Å): 4.800 9.611 10.741
angles (deg): 103.05 102.91 90.00
Fractional positions:
Cl1 0.003 0.759 0.007
Rb1 0.500 0.500 0.000
Cs1 0.165 0.329 0.330
Cs2 0.835 0.671 0.670
In1 0.500 0.000 0.000
Cl2 0.663 0.071 0.327
Rb2 0.166 0.835 0.331
Cl3 0.337 0.408 0.674
Rb3 0.834 0.165 0.669
Cl4 0.337 0.929 0.673
Cl5 0.997 0.241 0.993
Cl6 0.663 0.592 0.326

Compound: Te4MoSe
Source: Alexandria
Functional: PBE
Structure: optimized geometry

E_form (uncorrected) ... 1.029 eV per atom
Symmetry ... F-43m, No. 216
Energy ... -3.451 eV per atom
D(E_F) ... 1.321 states/eV/atom

a b c (Å): 6.242 6.242 6.242
angles (deg): 60.00 60.00 60.00
Last column: magnetic moment on the atom in μB.
Fractional positions:
Te1 0.874 0.375 0.375  -0.13
Se1 0.000 0.000 0.000  -0.53
Te2 0.375 0.375 0.874  -0.13
Te3 0.375 0.375 0.375  -0.13
Mo1 0.750 0.750 0.750  3.51
Te4 0.375 0.874 0.375  -0.13

Compound: Tb2MgAl
Source: Alexandria
Functional: PBE
Structure: optimized geometry

Symmetry ... R-3m, No. 166
Energy ... -3.719 eV per atom
D(E_F) ... 0.804 states/eV/atom

a b c (Å): 3.580 3.580 10.154
angles (deg): 79.85 79.85 60.00
Fractional positions:
Tb1 0.743 0.743 0.772
Mg1 0.500 0.500 0.500
Al1 0.000 0.000 0.000
Tb2 0.257 0.257 0.228

Compound: NaH2W2
Source: Alexandria
Functional: PBE
Structure: optimized geometry

Energy above the lowest structure with this stoichiometry ... 446 meV/atom
Symmetry ... P4/mbm, No. 127
Energy ... -5.609 eV per atom
D(E_F) ... 0.523 states/eV/atom

a b c (Å): 7.654 7.654 2.577
angles (deg): 90.00 90.00 90.00
Fractional positions:
H1 0.898 0.398 0.500
H2 0.102 0.602 0.500
Na1 0.500 0.500 0.000
W1 0.113 0.387 0.000
Na2 0.000 0.000 0.000
H3 0.398 0.102 0.500
H4 0.602 0.898 0.500
W2 0.887 0.613 0.000
W3 0.387 0.887 0.000
W4 0.613 0.113 0.000

Compound: CaPrLuTl
Source: Alexandria
Functional: PBE
Structure: optimized geometry

Symmetry ... F-43m, No. 216
Energy ... -3.445 eV per atom
D(E_F) ... 1.294 states/eV/atom

a b c (Å): 5.603 5.603 5.603
angles (deg): 60.00 60.00 60.00
Fractional positions:
Ca1 0.500 0.500 0.500
Lu1 0.750 0.750 0.750
Tl1 0.250 0.250 0.250
Pr1 0.000 0.000 0.000

Which of these has the highest D(E_F)? Te4MoSe